TaVCdO6 (PBE+U, optimized geometry); total energy = -7.5533 eV/atom; M_tot = 0.00 μB/cell; SG = P4_2nm, No. 102
1.0
4.829 0.000 0.000
0.000 4.829 0.000
0.000 0.000 9.305
Ta V Cd O
2 2 2 12
Direct
0.000 0.000 0.000
0.500 0.500 0.500
0.000 0.000 0.337
0.500 0.500 0.837
0.000 0.000 0.668
0.500 0.500 0.168
0.174 0.174 0.175
0.211 0.211 0.473
0.224 0.224 0.861
0.276 0.724 0.361
0.289 0.711 0.973
0.326 0.674 0.675
0.674 0.326 0.675
0.711 0.289 0.973
0.724 0.276 0.361
0.776 0.776 0.861
0.789 0.789 0.473
0.826 0.826 0.175